Crystalline NiHgAu2O6 at its relaxed geometry. Source: the Alexandria database, functional PBE+U.

POSCAR file:
```
NiHgAu2O6
1.0
5.075 -0.591 -0.613
0.846 7.144 0.207
0.846 -0.058 7.147
O Au Ni Hg
12 4 2 2
Direct
0.552 0.571 0.687
0.961 0.357 0.883
0.919 0.038 0.160
0.081 0.962 0.840
0.461 0.883 0.357
0.419 0.160 0.038
0.539 0.117 0.643
0.581 0.840 0.962
0.948 0.313 0.429
0.039 0.643 0.117
0.052 0.687 0.571
0.448 0.429 0.313
0.232 0.392 0.092
0.732 0.092 0.392
0.768 0.608 0.908
0.268 0.908 0.608
0.250 0.909 0.091
0.750 0.091 0.909
0.750 0.618 0.382
0.250 0.382 0.618
```

DFT total energy in eV/f.u.: -40.5